# Dy4Y3Mg | the Alexandria database | PBE | optimized geometry
data_Dy4Y3Mg
_chemical_formula_sum 'Dy8 Y6 Mg2'
_cell_length_a 25.489
_cell_length_b 3.387
_cell_length_c 5.879
_cell_angle_alpha 90.00
_cell_angle_beta 95.76
_cell_angle_gamma 90.00
_symmetry_space_group_name_H-M 'C 1 2/m 1'
_symmetry_Int_Tables_number 12
loop_
_symmetry_equiv_pos_as_xyz
'x,y,z'
'-x,-y,-z'
'-x,y,-z'
'x,-y,z'
'x+1/2,y+1/2,z'
'-x+1/2,-y+1/2,-z'
'-x+1/2,y+1/2,-z'
'x+1/2,-y+1/2,z'
loop_
_atom_site_label
_atom_site_fract_x
_atom_site_fract_y
_atom_site_fract_z
Dy1 0.102 0.000 0.196
Dy2 0.218 0.500 0.238
Y1 0.000 0.000 0.500
Y2 0.149 0.000 0.716
Mg1 0.000 0.500 0.000
# E_form = 4.915 kcal/mol of atoms
# energy = -4.7113 eV per atom

---

# DyY6Mg | the Alexandria database | PBE | optimized geometry
data_DyY6Mg
_chemical_formula_sum 'Dy2 Y12 Mg2'
_cell_length_a 11.162
_cell_length_b 5.037
_cell_length_c 9.902
_cell_angle_alpha 90.00
_cell_angle_beta 116.28
_cell_angle_gamma 90.00
_symmetry_space_group_name_H-M 'C 1 2/m 1'
_symmetry_Int_Tables_number 12
loop_
_symmetry_equiv_pos_as_xyz
'x,y,z'
'-x,-y,-z'
'-x,y,-z'
'x,-y,z'
'x+1/2,y+1/2,z'
'-x+1/2,-y+1/2,-z'
'-x+1/2,y+1/2,-z'
'x+1/2,-y+1/2,z'
loop_
_atom_site_label
_atom_site_fract_x
_atom_site_fract_y
_atom_site_fract_z
Dy1 0.000 0.000 0.000
Y1 0.002 0.500 0.749
Y2 0.244 0.000 0.376
Y3 0.250 0.000 0.872
Mg1 0.000 0.000 0.500
# E_form = 0.683 kcal/mol of atoms
# energy = -5.5930 eV per atom

---

# Dy2Y8Mg | the Alexandria database | PBE | optimized geometry
data_Dy2Y8Mg
_chemical_formula_sum 'Dy4 Y16 Mg2'
_cell_length_a 18.658
_cell_length_b 6.887
_cell_length_c 5.680
_cell_angle_alpha 90.00
_cell_angle_beta 92.19
_cell_angle_gamma 90.00
_symmetry_space_group_name_H-M 'C 1 2/m 1'
_symmetry_Int_Tables_number 12
loop_
_symmetry_equiv_pos_as_xyz
'x,y,z'
'-x,-y,-z'
'-x,y,-z'
'x,-y,z'
'x+1/2,y+1/2,z'
'-x+1/2,-y+1/2,-z'
'-x+1/2,y+1/2,-z'
'x+1/2,-y+1/2,z'
loop_
_atom_site_label
_atom_site_fract_x
_atom_site_fract_y
_atom_site_fract_z
Dy1 0.218 0.000 0.256
Y1 0.049 0.000 0.234
Y2 0.129 0.235 0.741
Y3 0.180 0.500 0.234
Mg1 0.000 0.500 0.000
# E_form = 3.190 kcal/mol of atoms
# energy = -5.5445 eV per atom

---

Q: Among the records above, which one has the highest energy?
A: Dy4Y3Mg